# Ce4CdPd15, optimized geometry, DFT PBE
# crystal system = tetragonal
# DOS at the Fermi energy = 13.21 states/eV/f.u.
# formation enthalpy at 0 K = -728 meV per atom
data_Ce4CdPd15
_space_group_name_H-M_alt 'P 1'
_space_group_IT_number 1
_cell_length_a 4.1453
_cell_length_b 4.1453
_cell_length_c 20.5289
_cell_angle_alpha 90.00
_cell_angle_beta 90.00
_cell_angle_gamma 90.00
loop_
_space_group_symop_operation_xyz
'x,y,z'
loop_
_atom_site_label
_atom_site_type_symbol
_atom_site_fract_x
_atom_site_fract_y
_atom_site_fract_z
Ce1 Ce 0.0000 0.0000 0.1020
Ce2 Ce 0.0000 0.0000 0.3072
Ce3 Ce 0.0000 0.0000 0.6928
Ce4 Ce 0.0000 0.0000 0.8980
Cd1 Cd 0.0000 0.0000 0.5000
Pd1 Pd 0.0000 0.5000 0.0000
Pd2 Pd 0.0000 0.5000 0.2025
Pd3 Pd 0.0000 0.5000 0.4017
Pd4 Pd 0.0000 0.5000 0.5983
Pd5 Pd 0.0000 0.5000 0.7975
Pd6 Pd 0.5000 0.0000 0.0000
Pd7 Pd 0.5000 0.0000 0.2025
Pd8 Pd 0.5000 0.0000 0.4017
Pd9 Pd 0.5000 0.0000 0.5983
Pd10 Pd 0.5000 0.0000 0.7975
Pd11 Pd 0.5000 0.5000 0.1011
Pd12 Pd 0.5000 0.5000 0.3021
Pd13 Pd 0.5000 0.5000 0.5000
Pd14 Pd 0.5000 0.5000 0.6979
Pd15 Pd 0.5000 0.5000 0.8989

***

# CePmCdPd, optimized geometry, DFT PBE
# crystal system = cubic
# DOS at the Fermi energy = 8.98 states/eV/f.u.
# formation enthalpy at 0 K = -381 meV per atom
data_CePmCdPd
_space_group_name_H-M_alt 'P 1'
_space_group_IT_number 1
_cell_length_a 5.2497
_cell_length_b 5.2497
_cell_length_c 5.2497
_cell_angle_alpha 60.00
_cell_angle_beta 60.00
_cell_angle_gamma 60.00
loop_
_space_group_symop_operation_xyz
'x,y,z'
loop_
_atom_site_label
_atom_site_type_symbol
_atom_site_fract_x
_atom_site_fract_y
_atom_site_fract_z
Ce1 Ce 0.0000 0.0000 0.0000
Pm1 Pm 0.5000 0.5000 0.5000
Cd1 Cd 0.7500 0.7500 0.7500
Pd1 Pd 0.2500 0.2500 0.2500

***

# CePrCdPd, optimized geometry, DFT PBE
# crystal system = cubic
# DOS at the Fermi energy = 9.21 states/eV/f.u.
# formation enthalpy at 0 K = -362 meV per atom
data_CePrCdPd
_space_group_name_H-M_alt 'P 1'
_space_group_IT_number 1
_cell_length_a 5.2872
_cell_length_b 5.2872
_cell_length_c 5.2872
_cell_angle_alpha 60.00
_cell_angle_beta 60.00
_cell_angle_gamma 60.00
loop_
_space_group_symop_operation_xyz
'x,y,z'
loop_
_atom_site_label
_atom_site_type_symbol
_atom_site_fract_x
_atom_site_fract_y
_atom_site_fract_z
Ce1 Ce 0.0000 0.0000 0.0000
Pr1 Pr 0.5000 0.5000 0.5000
Cd1 Cd 0.2500 0.2500 0.2500
Pd1 Pd 0.7500 0.7500 0.7500

***

# CeCdPdRh, optimized geometry, DFT PBE
# crystal system = cubic
# DOS at the Fermi energy = 4.89 states/eV/f.u.
# formation enthalpy at 0 K = -550 meV per atom
data_CeCdPdRh
_space_group_name_H-M_alt 'P 1'
_space_group_IT_number 1
_cell_length_a 4.8083
_cell_length_b 4.8083
_cell_length_c 4.8083
_cell_angle_alpha 60.00
_cell_angle_beta 60.00
_cell_angle_gamma 60.00
loop_
_space_group_symop_operation_xyz
'x,y,z'
loop_
_atom_site_label
_atom_site_type_symbol
_atom_site_fract_x
_atom_site_fract_y
_atom_site_fract_z
Ce1 Ce 0.0000 0.0000 0.0000
Cd1 Cd 0.5000 0.5000 0.5000
Pd1 Pd 0.2500 0.2500 0.2500
Rh1 Rh 0.7500 0.7500 0.7500

***

# CeCdPdRu, optimized geometry, DFT PBE
# crystal system = cubic
# DOS at the Fermi energy = 3.66 states/eV/f.u.
# formation enthalpy at 0 K = -311 meV per atom
data_CeCdPdRu
_space_group_name_H-M_alt 'P 1'
_space_group_IT_number 1
_cell_length_a 4.7754
_cell_length_b 4.7754
_cell_length_c 4.7754
_cell_angle_alpha 60.00
_cell_angle_beta 60.00
_cell_angle_gamma 60.00
loop_
_space_group_symop_operation_xyz
'x,y,z'
loop_
_atom_site_label
_atom_site_type_symbol
_atom_site_fract_x
_atom_site_fract_y
_atom_site_fract_z
Ce1 Ce 0.0000 0.0000 0.0000
Cd1 Cd 0.5000 0.5000 0.5000
Pd1 Pd 0.2500 0.2500 0.2500
Ru1 Ru 0.7500 0.7500 0.7500

***

# CeScCdPd, optimized geometry, DFT PBE
# crystal system = cubic
# DOS at the Fermi energy = 8.57 states/eV/f.u.
# formation enthalpy at 0 K = -369 meV per atom
data_CeScCdPd
_space_group_name_H-M_alt 'P 1'
_space_group_IT_number 1
_cell_length_a 5.0640
_cell_length_b 5.0640
_cell_length_c 5.0640
_cell_angle_alpha 60.00
_cell_angle_beta 60.00
_cell_angle_gamma 60.00
loop_
_space_group_symop_operation_xyz
'x,y,z'
loop_
_atom_site_label
_atom_site_type_symbol
_atom_site_fract_x
_atom_site_fract_y
_atom_site_fract_z
Ce1 Ce 0.0000 0.0000 0.0000
Sc1 Sc 0.5000 0.5000 0.5000
Cd1 Cd 0.7500 0.7500 0.7500
Pd1 Pd 0.2500 0.2500 0.2500